An optimized crystal structure of Zn2Cd2Au3. Source: the Alexandria database, functional PBE.

Lattice parameters (Å, degrees): 12.7578 3.2151 7.2373 90.00 118.34 90.00
Last column: nearest neighbours and their distance in Å.
Fractional positions:
1 Zn 0.1830 0.0000 0.2572  5 Au 2.61-2.72
2 Zn 0.3170 0.5000 0.7428  5 Au 2.61-2.72
3 Zn 0.6830 0.5000 0.2572  5 Au 2.61-2.72
4 Zn 0.8170 0.0000 0.7428  5 Au 2.61-2.72
5 Cd 0.1347 0.0000 0.8173  3 Zn 2.94-3.08, 6 Au 2.95-3.09, 4 Cd 3.22-3.29
6 Cd 0.3653 0.5000 0.1827  3 Zn 2.94-3.08, 6 Au 2.95-3.09, 4 Cd 3.22-3.29
7 Cd 0.6347 0.5000 0.8173  3 Zn 2.94-3.08, 6 Au 2.95-3.09, 4 Cd 3.22-3.29
8 Cd 0.8653 0.0000 0.1827  3 Zn 2.94-3.08, 6 Au 2.95-3.09, 4 Cd 3.22-3.29
9 Au 0.0000 0.5000 0.0000  4 Zn 2.72, 2 Au 2.88
10 Au 0.0957 0.5000 0.4490  3 Zn 2.61-2.69, 2 Au 2.87-2.88
11 Au 0.4043 0.0000 0.5510  3 Zn 2.61-2.69, 2 Au 2.87-2.88
12 Au 0.5000 0.0000 0.0000  4 Zn 2.72, 2 Au 2.88
13 Au 0.5957 0.0000 0.4490  3 Zn 2.61-2.69, 2 Au 2.87-2.88
14 Au 0.9043 0.5000 0.5510  3 Zn 2.61-2.69, 2 Au 2.87-2.88

***

An optimized crystal structure of Zn2Cd6Au. Source: the Alexandria database, functional PBE.

Lattice parameters (Å, degrees): 4.4792 6.5105 6.8202 79.63 82.31 81.88
Last column: nearest neighbours and their distance in Å.
Fractional positions:
1 Zn 0.1849 0.4984 0.1712  1 Au 2.81, 8 Cd 2.89-2.96, 1 Zn 3.03
2 Zn 0.8151 0.5016 0.8288  1 Au 2.81, 8 Cd 2.89-2.96, 1 Zn 3.03
3 Cd 0.0534 0.2042 0.5477  4 Cd 2.88-3.00, 2 Au 2.92-2.93, 2 Zn 2.96
4 Cd 0.2582 0.7921 0.7970  4 Cd 2.89-3.01, 3 Zn 2.89-2.92, 1 Au 3.02
5 Cd 0.3699 0.2084 0.8872  4 Cd 2.88-3.03, 3 Zn 2.89-2.94, 1 Au 3.00
6 Cd 0.6301 0.7916 0.1128  4 Cd 2.88-3.03, 3 Zn 2.89-2.94, 1 Au 3.00
7 Cd 0.7418 0.2079 0.2030  4 Cd 2.89-3.01, 3 Zn 2.89-2.92, 1 Au 3.02
8 Cd 0.9466 0.7958 0.4523  4 Cd 2.88-3.00, 2 Au 2.92-2.93, 2 Zn 2.96
9 Au 0.5000 0.5000 0.5000  2 Zn 2.81, 8 Cd 2.92-3.02

***

An optimized crystal structure of ZnCd2Au2. Source: the Alexandria database, functional PBE.

Lattice parameters (Å, degrees): 7.4412 7.4412 3.6815 90.00 90.00 90.00
Last column: nearest neighbours and their distance in Å.
Fractional positions:
1 Zn 0.0000 0.0000 0.0000  4 Cd 2.81
2 Zn 0.5000 0.5000 0.0000  4 Cd 2.81
3 Cd 0.1566 0.3434 0.0000  6 Au 2.80-2.89, 2 Zn 2.81
4 Cd 0.3434 0.8434 0.0000  6 Au 2.80-2.89, 2 Zn 2.81
5 Cd 0.6566 0.1566 0.0000  6 Au 2.80-2.89, 2 Zn 2.81
6 Cd 0.8434 0.6566 0.0000  6 Au 2.80-2.89, 2 Zn 2.81
7 Au 0.1426 0.6426 0.5000  6 Cd 2.80-2.89, 1 Au 3.00
8 Au 0.3574 0.1426 0.5000  6 Cd 2.80-2.89, 1 Au 3.00
9 Au 0.6426 0.8574 0.5000  6 Cd 2.80-2.89, 1 Au 3.00
10 Au 0.8574 0.3574 0.5000  6 Cd 2.80-2.89, 1 Au 3.00

***

Number 1: DFT formation energy -0.138 eV/atom, total energy -2.168 eV per atom, total moment 0.0 Bohr magnetons per cell. Number 2: DFT formation energy -0.022 eV/atom, total energy -1.279 eV per atom, total moment 0.0 Bohr magnetons per cell. Number 3: DFT formation energy -0.003 eV/atom, total energy -1.935 eV per atom, total moment 0.0 Bohr magnetons per cell.